3
Lattice="-2.908 -3.887 0.750 2.770 0.251 -4.049 2.615 -1.630 1.687" Properties=species:S:1:pos:R:3 comment="ScCdPb | the Alexandria database | PBE | optimized geometry" total_energy_ev_per_cell=-11.4 pbc="T T T"
Cd 0.066 -0.041 0.043
Pb -0.237 -2.993 -0.348
Sc 2.648 -2.232 -1.307

---

4
Lattice="-0.022 -3.921 -1.145 2.438 2.670 -1.901 4.691 0.245 6.360" Properties=species:S:1:pos:R:3 comment="TbCeHgIr | the Alexandria database | PBE | optimized geometry" polymorph_energy_mev_per_atom=0 pbc="T T T"
Tb 3.469 -1.406 3.371
Ce 2.613 2.153 -1.508
Hg 2.654 -2.694 0.515
Ir 5.415 0.488 4.137

---

5
Lattice="4.362 0.000 0.000 0.000 4.362 0.000 2.181 2.181 6.304" Properties=species:S:1:pos:R:3 comment="Ge2AuSe2 | the Alexandria database | PBE | optimized geometry" polymorph_energy_mev_per_atom=463 formation_energy_uncorrected_ev_per_atom=0.32 pbc="T T T"
Ge 2.181 2.181 1.501
Ge 4.362 4.362 4.803
Au 0.000 0.000 0.000
Se 4.362 2.181 3.152
Se 2.181 4.362 3.152

---

M_tot list, top to bottom, in Bohr magnetons per cell: 0.0 0.4 0.0